[1]
A plane-wave DFT calculation with GGA-PBE was carried out for an optimized crystal structure of Ac2P2Pd5.

Calculated values
- magnetization (Bohr magnetons per cell) = 0.00
- symmetry = No. 123
- electronic total energy (eV/atom) = -5.87
- energy of formation (eV/atom) = -0.866
- mass density (g/cm3) = 9.9

```
Ac2P2Pd5
1.0
-0.1371 3.4612 2.6688
-4.2802 -0.6467 0.6187
1.8596 -5.4519 7.1661
Ac P Pd
2 2 5
direct
0.0000 0.0000 0.0000
0.0000 0.0000 0.5000
0.5000 0.5000 0.1375
0.5000 0.5000 0.8625
0.5000 0.0000 0.2623
0.5000 0.0000 0.7377
0.0000 0.5000 0.2623
0.0000 0.5000 0.7377
0.5000 0.5000 0.5000
```

=====

[2]
A plane-wave DFT calculation with GGA-PBE was carried out for an optimized crystal structure of Ac2PPd.

Calculated values
- offset from the most stable computed form (eV per formula unit) = 0.00
- magnetization (Bohr magnetons per cell) = 0.00
- symmetry = No. 166
- electronic total energy (eV/atom) = -5.73
- energy of formation (eV/atom) = -1.029
- mass density (g/cm3) = 8.0

```
Ac2PPd
1.0
4.3550 0.0000 0.0000
2.1775 3.7715 0.0000
2.1775 1.2572 7.5143
P Ac Pd
1 2 1
direct
0.0000 0.0000 0.0000
0.7486 0.7486 0.7543
0.2514 0.2514 0.2457
0.5000 0.5000 0.5000
```

=====

[3]
A plane-wave DFT calculation with GGA-PBE was carried out for an optimized crystal structure of Ac2P3Pd6.

Calculated values
- magnetization (Bohr magnetons per cell) = 0.00
- symmetry = No. 189
- electronic total energy (eV/atom) = -5.93
- energy of formation (eV/atom) = -0.871
- mass density (g/cm3) = 9.3

```
Ac2P3Pd6
1.0
4.3246 0.0000 0.0000
0.0000 7.5176 0.0000
0.0000 -3.7588 6.5104
Ac P Pd
2 3 6
direct
0.0000 0.6667 0.3333
0.0000 0.3333 0.6667
0.5000 0.3543 0.3543
0.5000 0.6457 0.0000
0.5000 0.0000 0.6457
0.5000 0.6902 0.6902
0.5000 0.0000 0.3098
0.0000 0.2098 0.2098
0.0000 0.7902 0.0000
0.5000 0.3098 0.0000
0.0000 0.0000 0.7902
```

=====

[4]
A plane-wave DFT calculation with GGA-PBE was carried out for an optimized crystal structure of AcP6Pd.

Calculated values
- magnetization (Bohr magnetons per cell) = 0.00
- symmetry = No. 12
- electronic total energy (eV/atom) = -5.40
- energy of formation (eV/atom) = -0.179
- mass density (g/cm3) = 4.9

```
AcP6Pd
1.0
0.1144 7.5747 2.7208
1.3851 -3.1979 3.7775
4.8549 1.4194 0.9093
Ac P Pd
1 6 1
direct
0.0000 0.0000 0.0000
0.8511 0.4450 0.5550
0.3919 0.0716 0.4718
0.1489 0.5550 0.4450
0.6080 0.4718 0.0716
0.6081 0.9284 0.5282
0.3920 0.5282 0.9284
0.5000 0.0000 0.0000
```

=====

[5]
A plane-wave DFT calculation with GGA-PBE was carried out for an optimized crystal structure of Ac2PPd.

Calculated values
- offset from the most stable computed form (eV per formula unit) = 0.51
- magnetization (Bohr magnetons per cell) = 0.00
- symmetry = No. 123
- electronic total energy (eV/atom) = -5.61
- energy of formation (eV/atom) = -0.903
- mass density (g/cm3) = 9.1

```
Ac2PPd
1.0
-3.6458 -0.6770 -0.8739
-0.6885 -0.9657 3.6204
-1.6963 7.1049 1.5725
P Ac Pd
1 2 1
direct
0.5000 0.5000 0.5000
0.0000 0.0000 0.7397
0.0000 0.0000 0.2603
0.5000 0.5000 0.0000
```

=====

[6]
A plane-wave DFT calculation with GGA-PBE was carried out for an optimized crystal structure of AcP3Pd5.

Calculated values
- magnetization (Bohr magnetons per cell) = 0.00
- symmetry = No. 63
- electronic total energy (eV/atom) = -5.86
- energy of formation (eV/atom) = -0.715
- mass density (g/cm3) = 9.0

```
AcP3Pd5
1.0
3.9159 0.0000 0.0000
-1.9579 6.3385 0.0000
0.0000 0.0000 12.7099
Ac P Pd
2 6 10
direct
0.8522 0.7044 0.7500
0.1478 0.2956 0.2500
0.3896 0.7792 0.9572
0.8722 0.7445 0.2500
0.3896 0.7792 0.5428
0.6104 0.2208 0.4572
0.1278 0.2555 0.7500
0.6104 0.2208 0.0428
0.7872 0.5745 0.4210
0.2128 0.4255 0.9210
0.0000 0.0000 0.5000
0.0000 0.0000 0.0000
0.4397 0.8794 0.1454
0.5603 0.1206 0.8546
0.5603 0.1206 0.6454
0.7872 0.5745 0.0790
0.2128 0.4255 0.5790
0.4397 0.8794 0.3546
```

=====

[7]
A plane-wave DFT calculation with GGA-PBE was carried out for an optimized crystal structure of AcP2Pd3.

Calculated values
- offset from the most stable computed form (eV per formula unit) = 0.00
- magnetization (Bohr magnetons per cell) = 0.00
- symmetry = No. 12
- electronic total energy (eV/atom) = -5.93
- energy of formation (eV/atom) = -0.845
- mass density (g/cm3) = 9.2

```
AcP2Pd3
1.0
4.1758 0.0000 0.0000
-2.0879 7.7333 0.2091
0.0000 -3.3183 6.6859
Ac P Pd
2 4 6
direct
0.8441 0.6883 0.9265
0.1559 0.3117 0.0735
0.4822 0.9644 0.8365
0.5178 0.0356 0.1635
0.8150 0.6301 0.3226
0.1850 0.3699 0.6774
0.3162 0.6323 0.5742
0.9549 0.9098 0.6398
0.5976 0.1952 0.6913
0.4024 0.8048 0.3087
0.0451 0.0902 0.3602
0.6838 0.3677 0.4258
```

=====

[8]
A plane-wave DFT calculation with GGA-PBE was carried out for an optimized crystal structure of Ac6PPd2.

Calculated values
- magnetization (Bohr magnetons per cell) = 0.00
- symmetry = No. 14
- electronic total energy (eV/atom) = -5.12
- energy of formation (eV/atom) = -0.624
- mass density (g/cm3) = 8.3

```
Ac6PPd2
1.0
7.1500 0.0000 0.0405
0.0000 7.9769 0.0000
0.4324 0.0000 11.2902
Ac P Pd
12 2 4
direct
0.1577 0.0437 0.2506
0.1703 0.3274 0.5741
0.1636 0.3154 0.9257
0.3364 0.8154 0.5743
0.3297 0.8274 0.9259
0.3423 0.5437 0.2494
0.8423 0.9563 0.7494
0.8297 0.6726 0.4259
0.8364 0.6846 0.0743
0.6636 0.1846 0.4257
0.6703 0.1726 0.0741
0.6577 0.4563 0.7506
0.5000 0.5000 0.0000
0.0000 0.0000 0.5000
0.0639 0.6185 0.7638
0.4361 0.1185 0.7362
0.5639 0.8815 0.2638
0.9361 0.3815 0.2362
```

=====

[9]
A plane-wave DFT calculation with GGA-PBE was carried out for an optimized crystal structure of AcP2Pd8.

Calculated values
- magnetization (Bohr magnetons per cell) = 0.00
- symmetry = No. 139
- electronic total energy (eV/atom) = -5.46
- energy of formation (eV/atom) = -0.331
- mass density (g/cm3) = 8.2

```
AcP2Pd8
1.0
-4.4635 -2.3917 2.1860
-0.9078 -2.6490 -4.7519
6.9694 -3.2711 3.6931
Ac P Pd
1 2 8
direct
0.5000 0.5000 0.0000
0.2500 0.7500 0.5000
0.7500 0.2500 0.5000
0.9090 0.9090 0.3125
0.0910 0.0910 0.6875
0.5965 0.5965 0.6875
0.5965 0.0910 0.6875
0.4035 0.4035 0.3125
0.4035 0.9090 0.3125
0.9090 0.4035 0.3125
0.0910 0.5965 0.6875
```

=====

[10]
A plane-wave DFT calculation with GGA-PBE was carried out for an optimized crystal structure of Ac2PPd.

Calculated values
- offset from the most stable computed form (eV per formula unit) = 0.89
- magnetization (Bohr magnetons per cell) = 0.56
- symmetry = No. 225
- electronic total energy (eV/atom) = -5.51
- energy of formation (eV/atom) = -0.808
- mass density (g/cm3) = 9.0

```
Ac2PPd
1.0
-2.6629 0.7530 4.5899
-3.5846 -3.6291 1.6449
1.0656 -3.0824 4.2531
P Ac Pd
1 2 1
direct
0.5000 0.5000 0.5000
0.2500 0.2500 0.2500
0.7500 0.7500 0.7500
0.0000 0.0000 0.0000
```

=====

[11]
A plane-wave DFT calculation with GGA-PBE was carried out for an optimized crystal structure of Ac2P3Pd3.

Calculated values
- magnetization (Bohr magnetons per cell) = 0.00
- symmetry = No. 193
- electronic total energy (eV/atom) = -5.93
- energy of formation (eV/atom) = -0.922
- mass density (g/cm3) = 7.4

```
Ac2P3Pd3
1.0
-0.2554 -4.1908 -8.0181
4.8642 -4.5560 2.2263
-1.9560 -5.9554 3.1750
Ac P Pd
4 6 6
direct
0.0000 0.3333 0.3333
0.5000 0.6667 0.6667
0.0000 0.6667 0.6667
0.5000 0.3333 0.3333
0.7500 0.0000 0.6225
0.7500 0.6225 0.3775
0.7500 0.3775 0.0000
0.2500 0.0000 0.3775
0.2500 0.3775 0.6225
0.2500 0.6225 0.0000
0.7500 0.0000 0.2744
0.7500 0.2744 0.7256
0.7500 0.7256 0.0000
0.2500 0.0000 0.7256
0.2500 0.7256 0.2744
0.2500 0.2744 0.0000
```

=====

[12]
A plane-wave DFT calculation with GGA-PBE was carried out for an optimized crystal structure of Ac2PmP3Pd12.

Calculated values
- magnetization (Bohr magnetons per cell) = 0.00
- symmetry = No. 166
- electronic total energy (eV/atom) = -5.57
- energy of formation (eV/atom) = -0.487
- mass density (g/cm3) = 8.8

```
Ac2PmP3Pd12
1.0
7.5209 -0.6568 -0.4659
3.1431 6.8641 -0.4659
3.1431 1.8295 6.6322
Ac Pm P Pd
2 1 3 12
direct
0.6052 0.6052 0.6052
0.3948 0.3948 0.3948
0.0000 0.0000 0.0000
0.5000 0.0000 0.0000
0.0000 0.5000 0.0000
0.0000 0.0000 0.5000
0.2903 0.2903 0.8701
0.8538 0.8538 0.3901
0.3901 0.8538 0.8538
0.8701 0.2903 0.2903
0.8538 0.3901 0.8538
0.2903 0.8701 0.2903
0.7097 0.7097 0.1299
0.1462 0.1462 0.6099
0.6099 0.1462 0.1462
0.1299 0.7097 0.7097
0.1462 0.6099 0.1462
0.7097 0.1299 0.7097
```